# HfCdMoF2 (PBE+U, relaxed)
# Calculated density: 6.8 g cm⁻³
# Crystal system: tetragonal
# Size of the total moment: 4.2 Bohr magnetons per cell
# E_tot: -0.3995 Ry/atom
# Space-group type: P4/mmm, No. 123
data_HfCdMoF2
_chemical_formula_sum 'Hf1 Cd1 Mo1 F2'
_symmetry_space_group_name_H-M 'P 1'
_symmetry_Int_Tables_number 1
_symmetry_space_group_name_Hall 'P 1'
_cell_length_a 4.151
_cell_length_b 6.064
_cell_length_c 4.151
_cell_angle_alpha 90.00
_cell_angle_beta 90.00
_cell_angle_gamma 90.00
loop_
_atom_site_label
_atom_site_fract_x
_atom_site_fract_y
_atom_site_fract_z
Mo1 0.500 0.500 0.500
F1 0.000 0.000 0.500
F2 0.500 0.000 0.000
Hf1 0.000 0.000 0.000
Cd1 0.000 0.500 0.000